(1)
# LaTbHgPd

Crystalline LaTbHgPd at its relaxed geometry (GGA-PBE, the Alexandria database).

For the energy relative to the elements, the calculation gives -57.0 kJ per mole of atoms. For the electronic total energy, the calculation gives -4.354 eV per atom. For the density of states at the Fermi level, the calculation gives 14.163 states/eV per cell.

The space group is F-43m (No. 216) and the conventional cell measures 7.442, 7.442 and 7.442 Å, with angles of 90.00, 90.00 and 90.00 degrees. Symmetry generates all atoms from La at (0.000, 0.000, 0.000), Tb at (0.000, 0.000, 0.500), Hg at (0.250, 0.250, 0.750) and Pd at (0.250, 0.250, 0.250).

***

(2)
# LaThHgPd

Crystalline LaThHgPd at its relaxed geometry (GGA-PBE, the Alexandria database).

For the energy relative to the elements, the calculation gives -42.5 kJ per mole of atoms. For the electronic total energy, the calculation gives -4.901 eV per atom. For the density of states at the Fermi level, the calculation gives 15.222 states/eV per cell.

The space group is F-43m (No. 216) and the conventional cell measures 7.520, 7.520 and 7.520 Å, with angles of 90.00, 90.00 and 90.00 degrees. Symmetry generates all atoms from La at (0.000, 0.000, 0.000), Th at (0.000, 0.000, 0.500), Hg at (0.250, 0.250, 0.250) and Pd at (0.250, 0.250, 0.750).

***

(3)
# LaTiHgPd2

Crystalline LaTiHgPd2 at its relaxed geometry (GGA-PBE, the Alexandria database).

For the energy relative to the elements, the calculation gives 32.7 kJ per mole of atoms. For the electronic total energy, the calculation gives -4.364 eV per atom. For the density of states at the Fermi level, the calculation gives 4.419 states/eV per cell.

The space group is P4/mmm (No. 123) and the conventional cell measures 5.128, 5.128 and 4.934 Å, with angles of 90.00, 90.00 and 90.00 degrees. Symmetry generates all atoms from La at (0.000, 0.000, 0.000), Ti at (0.500, 0.500, 0.000), Hg at (0.500, 0.500, 0.500) and Pd at (0.000, 0.500, 0.500).

***

(4)
# LaTl2HgPd

Crystalline LaTl2HgPd at its relaxed geometry (GGA-PBE, the Alexandria database).

For the energy relative to the elements, the calculation gives 85.3 kJ per mole of atoms. For the energy relative to the lowest polymorph listed for this composition, the calculation gives 536 kJ/mol of formula units. For the electronic total energy, the calculation gives -2.147 eV per atom. For the density of states at the Fermi level, the calculation gives 5.579 states/eV per cell.

The space group is P4/mmm (No. 123) and the conventional cell measures 6.108, 6.108 and 5.877 Å, with angles of 90.00, 90.00 and 90.00 degrees. Symmetry generates all atoms from La at (0.000, 0.000, 0.000), Tl at (0.000, 0.500, 0.000), Hg at (0.000, 0.000, 0.500) and Pd at (0.500, 0.500, 0.500).

***

(5)
# La4TlHg2Pd

Crystalline La4TlHg2Pd at its relaxed geometry (GGA-PBE, the Alexandria database).

For the energy relative to the elements, the calculation gives -52.0 kJ per mole of atoms. For the electronic total energy, the calculation gives -4.023 eV per atom. For the density of states at the Fermi level, the calculation gives 23.363 states/eV per cell.

The space group is R-3m (No. 166, hexagonal axes) and the conventional cell measures 5.4953, 5.4953 and 26.5517 Å, with angles of 90.00, 90.00 and 120.00 degrees. Symmetry generates all atoms from La at (0.0000, 0.0000, 0.1148), La at (0.0000, 0.0000, 0.3670), Tl at (0.0000, 0.0000, 0.5000), Hg at (0.0000, 0.0000, 0.2413) and Pd at (0.0000, 0.0000, 0.0000).

***

(6)
# LaTl2HgPd

Crystalline LaTl2HgPd at its relaxed geometry (GGA-PBE, the Alexandria database).

For the energy relative to the elements, the calculation gives -21.8 kJ per mole of atoms. For the energy relative to the lowest polymorph listed for this composition, the calculation gives 0 kJ/mol of formula units. For the electronic total energy, the calculation gives -3.257 eV per atom. For the density of states at the Fermi level, the calculation gives 4.076 states/eV per cell.

The space group is P4/mmm (No. 123) and the conventional cell measures 5.344, 5.344 and 5.413 Å, with angles of 90.00, 90.00 and 90.00 degrees. Symmetry generates all atoms from La at (0.000, 0.000, 0.000), Tl at (0.000, 0.500, 0.500), Hg at (0.500, 0.500, 0.000) and Pd at (0.000, 0.000, 0.500).

***

(7)
# La2TlHgPd

Crystalline La2TlHgPd at its relaxed geometry (GGA-PBE, the Alexandria database).

For the energy relative to the elements, the calculation gives 11.5 kJ per mole of atoms. For the electronic total energy, the calculation gives -3.424 eV per atom. For the density of states at the Fermi level, the calculation gives 6.441 states/eV per cell.

The space group is P4/mmm (No. 123) and the conventional cell measures 5.860, 5.860 and 5.068 Å, with angles of 90.00, 90.00 and 90.00 degrees. Symmetry generates all atoms from La at (0.000, 0.500, 0.000), Tl at (0.000, 0.000, 0.500), Hg at (0.500, 0.500, 0.000) and Pd at (0.500, 0.500, 0.500).

***

(8)
# LaTmHgPd

Crystalline LaTmHgPd at its relaxed geometry (GGA-PBE, the Alexandria database).

For the energy relative to the elements, the calculation gives -57.3 kJ per mole of atoms. For the electronic total energy, the calculation gives -4.317 eV per atom. For the density of states at the Fermi level, the calculation gives 14.872 states/eV per cell.

The space group is F-43m (No. 216) and the conventional cell measures 7.388, 7.388 and 7.388 Å, with angles of 90.00, 90.00 and 90.00 degrees. Symmetry generates all atoms from La at (0.000, 0.000, 0.000), Tm at (0.000, 0.000, 0.500), Hg at (0.250, 0.250, 0.250) and Pd at (0.250, 0.250, 0.750).

***

(9)
# La3Zn2HgPd9

Crystalline La3Zn2HgPd9 at its relaxed geometry (GGA-PBE, the Alexandria database).

For the energy relative to the elements, the calculation gives -52.0 kJ per mole of atoms. For the electronic total energy, the calculation gives -4.830 eV per atom. For the density of states at the Fermi level, the calculation gives 4.924 states/eV per cell.

The space group is P-3m1 (No. 164) and the conventional cell measures 5.7214, 5.7214 and 12.1486 Å, with angles of 90.00, 90.00 and 120.00 degrees. Symmetry generates all atoms from La at (0.0000, 0.0000, 0.0000), La at (0.3333, 0.6667, 0.7553), Zn at (0.3333, 0.6667, 0.1592), Hg at (0.0000, 0.0000, 0.5000), Pd at (0.0000, 0.5000, 0.0000) and Pd at (0.1635, 0.3269, 0.3119).

***

(10)
# La2Zn4HgPd3

Crystalline La2Zn4HgPd3 at its relaxed geometry (GGA-PBE, the Alexandria database).

For the energy relative to the elements, the calculation gives -52.2 kJ per mole of atoms. For the electronic total energy, the calculation gives -3.624 eV per atom. For the density of states at the Fermi level, the calculation gives 7.520 states/eV per cell.

The space group is P-4m2 (No. 115) and the conventional cell measures 4.322, 4.322 and 10.990 Å, with angles of 90.00, 90.00 and 90.00 degrees. Symmetry generates all atoms from La at (0.000, 0.500, 0.243), Zn at (0.000, 0.000, 0.000), Zn at (0.000, 0.500, 0.642), Zn at (0.500, 0.500, 0.000), Hg at (0.000, 0.000, 0.500), Pd at (0.000, 0.500, 0.871) and Pd at (0.500, 0.500, 0.500).

***

(11)
# LaPm2Hg4

Crystalline LaPm2Hg4 at its relaxed geometry (GGA-PBE, the Alexandria database).

For the energy relative to the elements, the calculation gives -36.7 kJ per mole of atoms. For the energy relative to the lowest polymorph listed for this composition, the calculation gives 0 kJ/mol of formula units. For the electronic total energy, the calculation gives -2.614 eV per atom. For the density of states at the Fermi level, the calculation gives 9.471 states/eV per cell.

The space group is Cmmm (No. 65) and the conventional cell measures 7.425, 10.984 and 5.266 Å, with angles of 90.00, 90.00 and 90.00 degrees. Symmetry generates all atoms from La at (0.000, 0.000, 0.000), Pm at (0.000, 0.264, 0.500), Hg at (0.236, 0.500, 0.500) and Hg at (0.250, 0.250, 0.000).

***

(12)
# La14PmHg

Crystalline La14PmHg at its relaxed geometry (GGA-PBE, the Alexandria database).

For the energy relative to the elements, the calculation gives -4.7 kJ per mole of atoms. For the electronic total energy, the calculation gives -4.676 eV per atom. For the density of states at the Fermi level, the calculation gives 37.016 states/eV per cell.

The space group is Amm2 (No. 38) and the conventional cell measures 10.434, 10.346 and 10.347 Å, with angles of 90.00, 90.00 and 90.00 degrees. Symmetry generates all atoms from La at (0.000, 0.000, 0.000), La at (0.000, 0.000, 0.490), La at (0.000, 0.242, 0.241), La at (0.243, 0.000, 0.739), La at (0.256, 0.244, 0.493), La at (0.269, 0.000, 0.250), La at (0.500, 0.235, 0.737), Pm at (0.500, 0.000, 0.990) and Hg at (0.500, 0.000, 0.493).